# SiTe2IBr

SiTe2IBr after structural relaxation (PBE-GGA, Alexandria via LeMat-Bulk).

```
data_SiTe2IBr
_symmetry_space_group_name_H-M 'P 4/m m m'
_symmetry_Int_Tables_number 123
_symmetry_space_group_name_Hall '-P 4 2'
_cell_length_a 5.369
_cell_length_b 5.369
_cell_length_c 5.415
_cell_angle_alpha 90.00
_cell_angle_beta 90.00
_cell_angle_gamma 90.00
loop_
_atom_site_label
_atom_site_type_symbol
_atom_site_fract_x
_atom_site_fract_y
_atom_site_fract_z
Si1 Si 0.000 0.000 0.000
Te1 Te 0.000 0.500 0.000
I1 I 0.000 0.000 0.500
Br1 Br 0.500 0.500 0.500
```

## Properties
Raw formation energy, meV per atom: 397
Polymorph energy (0 for the lowest one), meV/atom: 0